Entry 1:
# Li2Pa3O8 | Alexandria via LeMat-Bulk | PBE | optimized geometry
# N(E_F)   11.7 states/eV/cell
# Calculated volume   232.3 Å³/f.u.
# Formation energy (no corrections)   -3.08 eV per atom
# Magnetic moment   2.089 μB per cell
data_Li2Pa3O8
_chemical_formula_sum 'Li4 Pa6 O16'
_cell_length_a 10.6375
_cell_length_b 7.2325
_cell_length_c 6.0525
_cell_angle_alpha 90.00
_cell_angle_beta 93.91
_cell_angle_gamma 90.00
_symmetry_space_group_name_H-M 'C 1 2/m 1'
_symmetry_Int_Tables_number 12
_symmetry_space_group_name_Hall '-C 2y'
loop_
_atom_site_label
_atom_site_type_symbol
_atom_site_fract_x
_atom_site_fract_y
_atom_site_fract_z
_atom_site_occupancy
Li1 Li 0.2293 0.0000 0.2072 1
Pa1 Pa 0.0000 0.0000 0.5000 1
Pa2 Pa 0.0000 0.2578 0.0000 1
O1 O 0.0980 0.0000 0.8574 1
O2 O 0.1053 0.5000 0.8950 1
O3 O 0.1068 0.1950 0.3100 1

Entry 2:
# Pu2GaOs | Alexandria via LeMat-Bulk | PBE | optimized geometry
# N(E_F)   10.6 states/eV/cell
# Calculated volume   79.0 Å³/f.u.
# Formation enthalpy at 0 K   -0.105 eV/atom
# Magnetic moment   9.444 μB per cell
data_Pu2GaOs
_chemical_formula_sum 'Pu2 Ga1 Os1'
_cell_length_a 4.3883
_cell_length_b 4.3883
_cell_length_c 4.1024
_cell_angle_alpha 90.00
_cell_angle_beta 90.00
_cell_angle_gamma 90.00
_symmetry_space_group_name_H-M 'P 4/m m m'
_symmetry_Int_Tables_number 123
_symmetry_space_group_name_Hall '-P 4 2'
loop_
_atom_site_label
_atom_site_type_symbol
_atom_site_fract_x
_atom_site_fract_y
_atom_site_fract_z
_atom_site_occupancy
Pu1 Pu 0.0000 0.5000 0.0000 1
Ga1 Ga 0.0000 0.0000 0.5000 1
Os1 Os 0.5000 0.5000 0.5000 1

Entry 3:
# Ca3OsF | Alexandria via LeMat-Bulk | PBE | optimized geometry
# N(E_F)   3.2 states/eV/cell
# Calculated volume   104.6 Å³/f.u.
# Formation energy (no corrections)   -0.72 eV per atom
# Energy above the lowest structure with this stoichiometry   0.00 eV per formula unit
# Magnetic moment   0.000 μB per cell
data_Ca3OsF
_chemical_formula_sum 'Ca3 Os1 F1'
_cell_length_a 4.7120
_cell_length_b 4.7120
_cell_length_c 4.7120
_cell_angle_alpha 90.00
_cell_angle_beta 90.00
_cell_angle_gamma 90.00
_symmetry_space_group_name_H-M 'P m -3 m'
_symmetry_Int_Tables_number 221
_symmetry_space_group_name_Hall '-P 4 2 3'
loop_
_atom_site_label
_atom_site_type_symbol
_atom_site_fract_x
_atom_site_fract_y
_atom_site_fract_z
_atom_site_occupancy
Ca1 Ca 0.0000 0.0000 0.5000 1
Os1 Os 0.5000 0.5000 0.5000 1
F1 F 0.0000 0.0000 0.0000 1

Entry 4:
# K3LiGa | Alexandria via LeMat-Bulk | PBE | optimized geometry
# N(E_F)   5.1 states/eV/cell
# Calculated volume   289.0 Å³/f.u.
# Formation enthalpy at 0 K   0.292 eV/atom
# Energy above the lowest structure with this stoichiometry   0.00 eV per formula unit
# Magnetic moment   0.002 μB per cell
data_K3LiGa
_chemical_formula_sum 'K3 Li1 Ga1'
_cell_length_a 6.6115
_cell_length_b 6.6115
_cell_length_c 6.6115
_cell_angle_alpha 90.00
_cell_angle_beta 90.00
_cell_angle_gamma 90.00
_symmetry_space_group_name_H-M 'P m -3 m'
_symmetry_Int_Tables_number 221
_symmetry_space_group_name_Hall '-P 4 2 3'
loop_
_atom_site_label
_atom_site_type_symbol
_atom_site_fract_x
_atom_site_fract_y
_atom_site_fract_z
_atom_site_occupancy
K1 K 0.0000 0.0000 0.5000 1
Li1 Li 0.5000 0.5000 0.5000 1
Ga1 Ga 0.0000 0.0000 0.0000 1

Entry 5:
# CsFe2S3 | Alexandria via LeMat-Bulk | PBE | optimized geometry
# N(E_F)   17.2 states/eV/cell
# Calculated volume   147.1 Å³/f.u.
# Formation energy (no corrections)   -0.71 eV per atom
# Magnetic moment   0.006 μB per cell
data_CsFe2S3
_chemical_formula_sum 'Cs4 Fe8 S12'
_cell_length_a 9.4005
_cell_length_b 12.0925
_cell_length_c 5.1751
_cell_angle_alpha 90.00
_cell_angle_beta 90.00
_cell_angle_gamma 90.00
_symmetry_space_group_name_H-M 'C m c m'
_symmetry_Int_Tables_number 63
_symmetry_space_group_name_Hall '-C 2c 2'
loop_
_atom_site_label
_atom_site_type_symbol
_atom_site_fract_x
_atom_site_fract_y
_atom_site_fract_z
_atom_site_occupancy
Cs1 Cs 0.0000 0.1781 0.2500 1
Fe1 Fe 0.1354 0.5000 0.0000 1
S1 S 0.0000 0.3998 0.7500 1
S2 S 0.2376 0.0978 0.7500 1

Entry 6:
# Si2TcAs | Alexandria via LeMat-Bulk | PBE | optimized geometry
# N(E_F)   5.4 states/eV/cell
# Calculated volume   57.8 Å³/f.u.
# Formation energy (no corrections)   0.25 eV per atom
# Magnetic moment   0.000 μB per cell
data_Si2TcAs
_chemical_formula_sum 'Si4 Tc2 As2'
_cell_length_a 5.2205
_cell_length_b 7.2901
_cell_length_c 3.0369
_cell_angle_alpha 90.00
_cell_angle_beta 90.00
_cell_angle_gamma 90.00
_symmetry_space_group_name_H-M 'C m m m'
_symmetry_Int_Tables_number 65
_symmetry_space_group_name_Hall '-C 2 2'
loop_
_atom_site_label
_atom_site_type_symbol
_atom_site_fract_x
_atom_site_fract_y
_atom_site_fract_z
_atom_site_occupancy
Si1 Si 0.2500 0.2500 0.0000 1
Tc1 Tc 0.0000 0.0000 0.5000 1
As1 As 0.0000 0.5000 0.5000 1

Entry 7:
# Li2PrGaSe4 | Alexandria via LeMat-Bulk | PBE | optimized geometry
# N(E_F)   0.0 states/eV/cell
# Calculated volume   199.3 Å³/f.u.
# Formation energy (no corrections)   -1.18 eV per atom
# Magnetic moment   0.000 μB per cell
data_Li2PrGaSe4
_chemical_formula_sum 'Li4 Pr2 Ga2 Se8'
_cell_length_a 7.9724
_cell_length_b 7.9744
_cell_length_c 8.2051
_cell_angle_alpha 117.09
_cell_angle_beta 117.08
_cell_angle_gamma 90.23
_symmetry_space_group_name_H-M 'P 1'
_symmetry_Int_Tables_number 1
_symmetry_space_group_name_Hall 'P 1'
loop_
_atom_site_label
_atom_site_type_symbol
_atom_site_fract_x
_atom_site_fract_y
_atom_site_fract_z
_atom_site_occupancy
Li1 Li 0.0000 0.0000 0.0000 1
Li2 Li 0.0075 0.4905 0.4925 1
Li3 Li 0.1285 0.6116 0.1890 1
Li4 Li 0.6204 0.6201 0.6810 1
Pr1 Pr 0.0591 0.0418 0.5777 1
Pr2 Pr 0.5784 0.5614 0.1035 1
Ga1 Ga 0.4564 0.0706 0.4922 1
Ga2 Ga 0.5497 0.1638 0.1884 1
Se1 Se 0.2654 0.3056 0.0683 1
Se2 Se 0.3147 0.3549 0.6126 1
Se3 Se 0.3390 0.8697 0.1005 1
Se4 Se 0.3750 0.8489 0.5859 1
Se5 Se 0.7507 0.2812 0.5802 1
Se6 Se 0.7714 0.2456 0.0949 1
Se7 Se 0.8343 0.7587 0.5760 1
Se8 Se 0.8615 0.7861 0.1050 1

Entry 8:
# CsGe2Pt5 | Alexandria via LeMat-Bulk | PBE | optimized geometry
# N(E_F)   5.9 states/eV/cell
# Calculated volume   155.2 Å³/f.u.
# Formation enthalpy at 0 K   -0.269 eV/atom
# Magnetic moment   0.000 μB per cell
data_CsGe2Pt5
_chemical_formula_sum 'Cs2 Ge4 Pt10'
_cell_length_a 4.0108
_cell_length_b 7.3790
_cell_length_c 10.4862
_cell_angle_alpha 90.00
_cell_angle_beta 90.00
_cell_angle_gamma 90.00
_symmetry_space_group_name_H-M 'I m m m'
_symmetry_Int_Tables_number 71
_symmetry_space_group_name_Hall '-I 2 2'
loop_
_atom_site_label
_atom_site_type_symbol
_atom_site_fract_x
_atom_site_fract_y
_atom_site_fract_z
_atom_site_occupancy
Cs1 Cs 0.0000 0.0000 0.0000 1
Ge1 Ge 0.0000 0.5000 0.2384 1
Pt1 Pt 0.0000 0.1897 0.3421 1
Pt2 Pt 0.0000 0.5000 0.0000 1

Entry 9:
# PmDy2Ho2 | Alexandria via LeMat-Bulk | PBE | optimized geometry
# N(E_F)   10.1 states/eV/cell
# Calculated volume   162.3 Å³/f.u.
# Formation enthalpy at 0 K   0.086 eV/atom
# Energy above the lowest structure with this stoichiometry   0.00 eV per formula unit
# Magnetic moment   0.000 μB per cell
data_PmDy2Ho2
_chemical_formula_sum 'Pm2 Dy4 Ho4'
_cell_length_a 9.3515
_cell_length_b 9.3515
_cell_length_c 3.7110
_cell_angle_alpha 90.00
_cell_angle_beta 90.00
_cell_angle_gamma 90.00
_symmetry_space_group_name_H-M 'P 4/m b m'
_symmetry_Int_Tables_number 127
_symmetry_space_group_name_Hall '-P 4 2ab'
loop_
_atom_site_label
_atom_site_type_symbol
_atom_site_fract_x
_atom_site_fract_y
_atom_site_fract_z
_atom_site_occupancy
Pm1 Pm 0.0000 0.0000 0.0000 1
Dy1 Dy 0.1256 0.3744 0.0000 1
Ho1 Ho 0.1715 0.6715 0.5000 1

Entry 10:
# KAcHgS3 | Alexandria via LeMat-Bulk | PBE | optimized geometry
# N(E_F)   0.0 states/eV/cell
# Calculated volume   194.3 Å³/f.u.
# Formation energy (no corrections)   -1.25 eV per atom
# Magnetic moment   0.000 μB per cell
data_KAcHgS3
_chemical_formula_sum 'K2 Ac2 Hg2 S6'
_cell_length_a 8.9530
_cell_length_b 4.3860
_cell_length_c 10.1107
_cell_angle_alpha 90.00
_cell_angle_beta 101.76
_cell_angle_gamma 90.00
_symmetry_space_group_name_H-M 'P 1 21/m 1'
_symmetry_Int_Tables_number 11
_symmetry_space_group_name_Hall '-P 2yb'
loop_
_atom_site_label
_atom_site_type_symbol
_atom_site_fract_x
_atom_site_fract_y
_atom_site_fract_z
_atom_site_occupancy
K1 K 0.1844 0.2500 0.2054 1
Ac1 Ac 0.3378 0.7500 0.8466 1
Hg1 Hg 0.0904 0.2500 0.6109 1
S1 S 0.1084 0.2500 0.8628 1
S2 S 0.2069 0.7500 0.5270 1
S3 S 0.4376 0.7500 0.1431 1

Entry 11:
# SmDy3Tl | Alexandria via LeMat-Bulk | PBE | optimized geometry
# N(E_F)   26.3 states/eV/cell
# Calculated volume   148.9 Å³/f.u.
# Formation enthalpy at 0 K   -0.120 eV/atom
# Energy above the lowest structure with this stoichiometry   0.00 eV per formula unit
# Magnetic moment   0.002 μB per cell
data_SmDy3Tl
_chemical_formula_sum 'Sm4 Dy12 Tl4'
_cell_length_a 4.8494
_cell_length_b 25.4521
_cell_length_c 4.8271
_cell_angle_alpha 90.00
_cell_angle_beta 90.00
_cell_angle_gamma 90.00
_symmetry_space_group_name_H-M 'C m c m'
_symmetry_Int_Tables_number 63
_symmetry_space_group_name_Hall '-C 2c 2'
loop_
_atom_site_label
_atom_site_type_symbol
_atom_site_fract_x
_atom_site_fract_y
_atom_site_fract_z
_atom_site_occupancy
Sm1 Sm 0.0000 0.1485 0.2500 1
Dy1 Dy 0.0000 0.0475 0.7500 1
Dy2 Dy 0.0000 0.2502 0.7500 1
Dy3 Dy 0.0000 0.4487 0.7500 1
Tl1 Tl 0.0000 0.3466 0.2500 1

- Look up the N(E_F) of the sixth one.
  5.4 states/eV/cell